ZrTe2Se: relaxed, PBE.

Output
energy relative to the elements, uncorrected = -0.389 eV/atom
DOS at the Fermi energy = 0.560 states/eV/atom
V = 97 Å³ per cell
DFT total energy = -4.97 eV/atom

a b c (Å): 3.744 3.744 6.910
angles (deg): 90.00 90.00 90.00
Element x y z (fractional)
Te 0.000 0.000 0.027
Te 0.000 0.000 0.473
Se 0.500 0.500 0.750
Zr 0.500 0.500 0.250

PPbN3: relaxed, PBE.

Output
energy relative to the elements, uncorrected = 2.655 eV/atom
DOS at the Fermi energy = 0.678 states/eV/atom
V = 81 Å³ per cell
DFT total energy = -4.16 eV/atom

a b c (Å): 4.319 4.319 4.319
angles (deg): 90.00 90.00 90.00
Element x y z (fractional)
N 0.000 0.000 0.500
N 0.500 0.000 0.000
N 0.000 0.500 0.000
P 0.500 0.500 0.500
Pb 0.000 0.000 0.000

Sm4Bi8Rh3: relaxed, PBE.

Output
DOS at the Fermi energy = 0.802 states/eV/atom
calculated formation energy = -0.586 eV/atom
V = 409 Å³ per cell
DFT total energy = -5.38 eV/atom

a b c (Å): 4.629 4.629 19.087
angles (deg): 90.00 90.00 90.00
Element x y z (fractional)
Sm 0.500 0.000 0.386
Sm 0.000 0.500 0.110
Sm 0.500 0.000 0.890
Sm 0.000 0.500 0.614
Bi 0.500 0.500 0.753
Bi 0.000 0.000 0.248
Bi 0.500 0.000 0.583
Bi 0.500 0.000 0.074
Bi 0.000 0.500 0.926
Bi 0.000 0.000 0.752
Bi 0.000 0.500 0.417
Bi 0.500 0.500 0.247
Rh 0.500 0.500 0.500
Rh 0.000 0.000 0.500
Rh 0.000 0.000 0.000

Mg2Ag3Au4: relaxed, PBE.

Output
DOS at the Fermi energy = 0.253 states/eV/atom
calculated formation energy = -0.301 eV/atom
V = 160 Å³ per cell
DFT total energy = -3.06 eV/atom
relative energy among the computed polymorphs = 0 kJ/mol of formula units

a b c (Å): 4.165 5.035 8.799
angles (deg): 74.23 90.04 65.58
Element x y z (fractional)
Au 0.004 0.993 0.330
Au 0.996 0.007 0.670
Au 0.666 0.667 0.889
Au 0.334 0.333 0.111
Ag 0.000 0.000 0.000
Ag 0.335 0.330 0.447
Ag 0.665 0.670 0.553
Mg 0.331 0.339 0.779
Mg 0.669 0.661 0.221